# 1
Material: Na2MnPdF6
Method: DFT, GGA+U
State: relaxed

Calculated values
**VASP energy**: -4.898 eV per atom
**Space-group type**: P1

The structure in CIF format:
```
data_Na2MnPdF6
_cell_length_a 5.319
_cell_length_b 5.611
_cell_length_c 6.198
_cell_angle_alpha 116.85
_cell_angle_beta 114.85
_cell_angle_gamma 90.02
_symmetry_space_group_name_H-M 'P 1'
_symmetry_Int_Tables_number 1
_symmetry_space_group_name_Hall 'P 1'
loop_
_atom_site_label
_atom_site_type_symbol
_atom_site_fract_x
_atom_site_fract_y
_atom_site_fract_z
Na1 Na 0.000 0.000 0.000
Na2 Na 0.449 0.496 0.992
Mn1 Mn 0.225 0.804 0.496
Pd1 Pd 0.725 0.291 0.496
F1 F 0.031 0.135 0.675
F2 F 0.048 0.615 0.659
F3 F 0.402 0.452 0.333
F4 F 0.418 0.957 0.317
F5 F 0.559 0.051 0.867
F6 F 0.890 0.679 0.124
```

***

# 2
Material: Na2PmMnF6
Method: DFT, GGA+U
State: relaxed

Calculated values
**VASP energy**: -5.498 eV per atom
**Space-group type**: P1

The structure in CIF format:
```
data_Na2PmMnF6
_cell_length_a 5.789
_cell_length_b 5.848
_cell_length_c 5.989
_cell_angle_alpha 117.69
_cell_angle_beta 91.62
_cell_angle_gamma 117.30
_symmetry_space_group_name_H-M 'P 1'
_symmetry_Int_Tables_number 1
_symmetry_space_group_name_Hall 'P 1'
loop_
_atom_site_label
_atom_site_type_symbol
_atom_site_fract_x
_atom_site_fract_y
_atom_site_fract_z
Na1 Na 0.000 0.000 0.000
Na2 Na 0.487 0.945 0.438
Pm1 Pm 0.236 0.442 0.666
Mn1 Mn 0.695 0.433 0.121
F1 F 0.044 0.476 0.336
F2 F 0.314 0.157 0.788
F3 F 0.439 0.275 0.337
F4 F 0.606 0.912 0.801
F5 F 0.891 0.932 0.361
F6 F 0.903 0.503 0.835
```